NaSiTe2: optimized geometry, PBE.

For the density of states at the Fermi level, the calculation gives 0.87 states/eV/f.u. The size of the total moment comes out at 0.00 Bohr magnetons per cell.

The structure belongs to space group P2_1/c (No. 14); the cell edges are 8.6031, 8.0469 and 9.2835 Å and the angles 90.00°, 122.31° and 90.00°. Symmetry generates all atoms from Na at (0.0018, 0.9997, 0.2965), Si at (0.1984, 0.1390, 0.0976), Te at (0.1525, 0.6997, 0.5760) and Te at (0.3383, 0.2490, 0.9166).

***

NaSiTe2: optimized geometry, PBE.

For the density of states at the Fermi level, the calculation gives 2.40 states/eV/f.u. The size of the total moment comes out at 0.00 Bohr magnetons per cell.

The structure belongs to space group R-3m (No. 166, hexagonal axes); the cell edges are 4.0410, 4.0410 and 26.9547 Å and the angles 90.00°, 90.00° and 120.00°. Symmetry generates all atoms from Na at (0.0000, 0.0000, 0.0000), Si at (0.0000, 0.0000, 0.5000) and Te at (0.0000, 0.0000, 0.1093).

***

Na2Si2Te5: optimized geometry, PBE.

For the density of states at the Fermi level, the calculation gives 5.80 states/eV/f.u. The size of the total moment comes out at 0.00 Bohr magnetons per cell.

The structure belongs to space group C2/m (No. 12); the cell edges are 14.3223, 5.5140 and 7.7660 Å and the angles 90.00°, 106.55° and 90.00°. Symmetry generates all atoms from Na at (0.1268, 0.0000, 0.3531), Si at (0.1619, 0.5000, 0.8759), Te at (0.0000, 0.5000, 0.0000), Te at (0.1294, 0.5000, 0.5391) and Te at (0.1504, 0.0000, 0.9532).

***

NaSiTe2: optimized geometry, PBE.

For the density of states at the Fermi level, the calculation gives 2.18 states/eV/f.u. The size of the total moment comes out at 0.00 Bohr magnetons per cell.

The structure belongs to space group R-3m (No. 166, hexagonal axes); the cell edges are 3.3643, 3.3643 and 32.7228 Å and the angles 90.00°, 90.00° and 120.00°. Symmetry generates all atoms from Na at (0.0000, 0.0000, 0.0000), Si at (0.0000, 0.0000, 0.5000) and Te at (0.0000, 0.0000, 0.4104).

***

Na3SiTe: optimized geometry, PBE.

The calculation puts the energy above the most stable polymorph in this dataset at 0 meV/atom. For the density of states at the Fermi level, the calculation gives 0.00 states/eV/f.u. The size of the total moment comes out at 3.00 Bohr magnetons per cell.

The structure belongs to space group Pm-3m (No. 221); the cell edges are 5.8760, 5.8760 and 5.8760 Å and the angles 90.00°, 90.00° and 90.00°. Symmetry generates all atoms from Na at (0.0000, 0.0000, 0.5000), Si at (0.5000, 0.5000, 0.5000) and Te at (0.0000, 0.0000, 0.0000).

***

NaSiTe3: optimized geometry, PBE.

The calculation puts the energy above the most stable polymorph in this dataset at 0 meV/atom. For the density of states at the Fermi level, the calculation gives 0.73 states/eV/f.u. The size of the total moment comes out at 0.00 Bohr magnetons per cell.

The structure belongs to space group P2_1/c (No. 14); the cell edges are 8.5804, 7.6671 and 13.1055 Å and the angles 90.00°, 124.49° and 90.00°. Symmetry generates all atoms from Na at (0.1909, 0.1826, 0.3619), Si at (0.1465, 0.6726, 0.5424), Te at (0.2163, 0.1513, 0.1114), Te at (0.2573, 0.6144, 0.2158) and Te at (0.3173, 0.7116, 0.9521).

***

The following energy relative to the elements, uncorrected values (in eV per atom) correspond, in order, to the records above: -0.2463; -0.1079; -0.1730; 0.2231; 0.0830; -0.2724.